Entry 1:
Cu2SbCl: optimized geometry, PBE-GGA.

Cell: 3.1915 3.1928 7.1198 Å, 90.00 90.00 90.00°
Fractional positions:
Sb  0.5000  0.5000  0.2500
Cu  0.0000  0.0000  0.0009
Cu  0.0000  0.0000  0.4991
Cl  0.5000  0.5000  0.7500

Summary:
E_form (uncorrected) ... 0.165 eV per atom
Total energy ... -3.375 eV/atom
Excess energy over the best structure of this formula in the dataset ... 271 meV/atom
Calculated density ... 6.51 g/cm3



Entry 2:
Cu2Sb2Cl: optimized geometry, PBE-GGA.

Cell: 7.9904 7.9904 3.1543 Å, 90.00 90.00 90.00°
Fractional positions:
Cl  0.5000  0.5000  0.0000
Cl  0.0000  0.0000  0.0000
Sb  0.8528  0.3528  0.5000
Sb  0.3528  0.1472  0.5000
Sb  0.1472  0.6472  0.5000
Sb  0.6472  0.8528  0.5000
Cu  0.1462  0.3538  0.0000
Cu  0.3538  0.8538  0.0000
Cu  0.8538  0.6462  0.0000
Cu  0.6462  0.1462  0.0000

Summary:
E_form (uncorrected) ... 0.138 eV per atom
Total energy ... -3.519 eV/atom
Excess energy over the best structure of this formula in the dataset ... 0 meV/atom
Calculated density ... 6.70 g/cm3



Entry 3:
CuSb3Cl: optimized geometry, PBE-GGA.

Cell: 5.2959 5.2959 5.2959 Å, 90.00 90.00 90.00°
Fractional positions:
Sb  0.5000  0.0000  0.0000
Sb  0.0000  0.0000  0.5000
Sb  0.0000  0.5000  0.0000
Cu  0.5000  0.5000  0.5000
Cl  0.0000  0.0000  0.0000

Summary:
E_form (uncorrected) ... 1.085 eV per atom
Total energy ... -2.577 eV/atom
Excess energy over the best structure of this formula in the dataset ... 698 meV/atom
Calculated density ... 5.19 g/cm3



Entry 4:
CuSbCl2: optimized geometry, PBE-GGA.

Cell: 3.5276 3.5276 8.5420 Å, 90.00 90.00 123.50°
Fractional positions:
Cu  0.5000  0.5000  0.2500
Sb  0.5000  0.5000  0.7500
Cl  0.0000  0.0000  0.0569
Cl  0.0000  0.0000  0.4431

Summary:
E_form (uncorrected) ... -0.200 eV per atom
Total energy ... -3.178 eV/atom
Excess energy over the best structure of this formula in the dataset ... 213 meV/atom
Calculated density ... 4.80 g/cm3



Entry 5:
CuSbCl2: optimized geometry, PBE-GGA.

Cell: 5.2472 5.2472 3.1548 Å, 90.00 90.00 90.00°
Fractional positions:
Sb  0.0000  0.5000  0.5000
Cl  0.0000  0.0000  0.0000
Cl  0.5000  0.5000  0.0000
Cu  0.5000  0.0000  0.5000

Summary:
E_form (uncorrected) ... 0.254 eV per atom
Total energy ... -2.724 eV/atom
Excess energy over the best structure of this formula in the dataset ... 667 meV/atom
Calculated density ... 4.90 g/cm3



Entry 6:
CuSbCl2: optimized geometry, PBE-GGA.

Cell: 5.6939 5.6939 5.6939 Å, 147.56 109.32 79.94°
Fractional positions:
Cu  0.7500  0.2500  0.5000
Cl  0.9517  0.9517  0.0000
Cl  0.5483  0.5483  0.0000
Sb  0.2500  0.7500  0.5000

Summary:
E_form (uncorrected) ... -0.092 eV per atom
Total energy ... -3.070 eV/atom
Excess energy over the best structure of this formula in the dataset ... 321 meV/atom
Calculated density ... 4.65 g/cm3



Entry 7:
CuSb4Cl: optimized geometry, PBE-GGA.

Cell: 6.2328 6.2328 6.2328 Å, 60.00 60.00 60.00°
Fractional positions:
Cu  0.0000  0.0000  0.0000
Sb  0.3829  0.8512  0.3829
Sb  0.3829  0.3829  0.3829
Sb  0.3829  0.3829  0.8512
Sb  0.8512  0.3829  0.3829
Cl  0.7500  0.7500  0.7500

Summary:
E_form (uncorrected) ... 0.402 eV per atom
Total energy ... -3.337 eV/atom
Calculated density ... 5.68 g/cm3



Entry 8:
Cu2SbCl: optimized geometry, PBE-GGA.

Cell: 7.8281 7.8281 7.8281 Å, 26.88 26.88 26.88°
Fractional positions:
Cl  0.7111  0.7111  0.7111
Sb  0.5322  0.5322  0.5322
Cu  0.9920  0.9920  0.9920
Cu  0.2646  0.2646  0.2646

Summary:
E_form (uncorrected) ... -0.009 eV per atom
Total energy ... -3.550 eV/atom
Excess energy over the best structure of this formula in the dataset ... 96 meV/atom
Calculated density ... 5.46 g/cm3



Entry 9:
CuSbCl2: optimized geometry, PBE-GGA.

Cell: 3.5916 3.5916 8.6979 Å, 90.00 90.00 118.45°
Fractional positions:
Cl  0.5000  0.5000  0.3461
Cl  0.0000  0.0000  0.9494
Sb  0.5000  0.5000  0.7108
Cu  0.0000  0.0000  0.4936

Summary:
E_form (uncorrected) ... -0.276 eV per atom
Total energy ... -3.254 eV/atom
Excess energy over the best structure of this formula in the dataset ... 137 meV/atom
Calculated density ... 4.31 g/cm3



Entry 10:
CuSbCl2: optimized geometry, PBE-GGA.

Cell: 4.8821 4.8821 4.8821 Å, 120.07 120.07 89.88°
Fractional positions:
Cl  0.0000  0.0000  0.0000
Cl  0.2500  0.7500  0.5000
Sb  0.7500  0.2500  0.5000
Cu  0.5000  0.5000  0.0000

Summary:
E_form (uncorrected) ... 0.238 eV per atom
Total energy ... -2.740 eV/atom
Excess energy over the best structure of this formula in the dataset ... 651 meV/atom
Calculated density ... 5.18 g/cm3



Entry 11:
CuSbCl2: optimized geometry, PBE-GGA.

Cell: 4.7353 5.0488 4.7414 Å, 67.26 79.80 112.69°
Fractional positions:
Cl  0.0000  0.0000  0.0000
Cl  0.5000  0.0000  0.5000
Cu  0.0000  0.5000  0.5000
Sb  0.5000  0.5000  0.0000

Summary:
E_form (uncorrected) ... -0.029 eV per atom
Total energy ... -3.007 eV/atom
Excess energy over the best structure of this formula in the dataset ... 384 meV/atom
Calculated density ... 4.78 g/cm3



Entry 12:
Cu2SbCl: optimized geometry, PBE-GGA.

Cell: 3.4584 3.4584 7.5763 Å, 90.00 90.00 120.11°
Fractional positions:
Sb  0.5000  0.5000  0.2500
Cu  0.0000  0.0000  0.9883
Cu  0.0000  0.0000  0.5117
Cl  0.5000  0.5000  0.7500

Summary:
E_form (uncorrected) ... 0.071 eV per atom
Total energy ... -3.469 eV/atom
Excess energy over the best structure of this formula in the dataset ... 176 meV/atom
Calculated density ... 6.02 g/cm3



Question: Among the records above, which one has the highest total energy?
Answer: CuSb3Cl